1.
A relaxed structure of TlVSn2Sb. Source: Alexandria via LeMat-Bulk, functional GGA-PBE.

abc: 5.247 5.247 5.115
angles: 90.00 90.00 90.00
Atoms (fractional coordinates):
Sn 0.500 0.000 0.000
Sb 0.000 0.000 0.500
Sn 0.000 0.500 0.000
V 0.000 0.000 0.000
Tl 0.500 0.500 0.500

Results
SG: P4/mmm, No. 123
Crystal system: tetragonal
Formation energy without anion corrections, meV per atom: 146

2.
A relaxed structure of LaMgCl2. Source: Alexandria via LeMat-Bulk, functional GGA-PBE.

abc: 9.928 9.928 9.928
angles: 21.17 21.17 21.17
Each line ends with the local moment (μB).
Atoms (fractional coordinates):
Cl 0.903 0.903 0.903  0.01
La 0.500 0.500 0.500  0.14
Mg 0.000 0.000 0.000  0.00
Cl 0.097 0.097 0.097  0.01

Results
SG: R-3m, No. 166
Crystal system: trigonal
Energy above the lowest structure with this stoichiometry, meV per atom: 0
Formation energy without anion corrections, meV per atom: -1336

3.
A relaxed structure of Ta2AlCu. Source: Alexandria via LeMat-Bulk, functional GGA-PBE.

abc: 9.445 9.445 9.445
angles: 17.41 17.41 17.41
Atoms (fractional coordinates):
Ta 0.246 0.246 0.246
Al 0.494 0.494 0.494
Ta 0.006 0.006 0.006
Cu 0.754 0.754 0.754

Results
SG: R3m, No. 160
ΔE_f, eV per atom: 0.09
Crystal system: trigonal

4.
A relaxed structure of SmDyZr. Source: Alexandria via LeMat-Bulk, functional GGA-PBE.

abc: 3.433 3.433 8.482
angles: 90.00 90.00 120.00
Atoms (fractional coordinates):
Zr 0.667 0.333 0.335
Sm 0.000 0.000 0.018
Dy 0.333 0.667 0.647

Results
SG: P3m1, No. 156
ΔE_f, eV per atom: 0.11
Crystal system: trigonal
Energy above the lowest structure with this stoichiometry, meV per atom: 12

5.
A relaxed structure of CdAgMo. Source: Alexandria via LeMat-Bulk, functional GGA-PBE.

abc: 2.872 2.872 7.457
angles: 90.00 90.00 120.00
Atoms (fractional coordinates):
Mo 0.333 0.667 0.672
Cd 0.667 0.333 0.334
Ag 0.000 0.000 0.994

Results
SG: P3m1, No. 156
ΔE_f, eV per atom: 0.39
Crystal system: trigonal
Energy above the lowest structure with this stoichiometry, meV per atom: 39

6.
A relaxed structure of HgPb5. Source: Alexandria via LeMat-Bulk, functional GGA-PBE.

abc: 3.567 3.567 14.327
angles: 90.00 90.00 90.00
Atoms (fractional coordinates):
Pb 0.000 0.000 0.500
Pb 0.500 0.500 0.675
Pb 0.500 0.500 0.325
Hg 0.500 0.500 0.000
Pb 0.000 0.000 0.156
Pb 0.000 0.000 0.844

Results
SG: P4/mmm, No. 123
ΔE_f, eV per atom: 0.01
Crystal system: tetragonal
Energy above the lowest structure with this stoichiometry, meV per atom: 6

7.
A relaxed structure of SmEuHoEr. Source: Alexandria via LeMat-Bulk, functional GGA-PBE.

abc: 5.758 5.758 5.758
angles: 60.00 60.00 60.00
Each line ends with the local moment (μB).
Atoms (fractional coordinates):
Eu 0.500 0.500 0.500  6.88
Ho 0.750 0.750 0.750  0.21
Sm 0.250 0.250 0.250  0.17
Er 0.000 0.000 0.000  0.23

Results
SG: F-43m, No. 216
ΔE_f, eV per atom: 0.16
Crystal system: cubic

8.
A relaxed structure of DyAgHgRh. Source: Alexandria via LeMat-Bulk, functional GGA-PBE.

abc: 4.826 4.826 4.826
angles: 60.00 60.00 60.00
Atoms (fractional coordinates):
Ag 0.250 0.250 0.250
Rh 0.750 0.750 0.750
Hg 0.000 0.000 0.000
Dy 0.500 0.500 0.500

Results
SG: F-43m, No. 216
ΔE_f, eV per atom: -0.34
Crystal system: cubic

9.
A relaxed structure of Ba2InPdI. Source: Alexandria via LeMat-Bulk, functional GGA-PBE.

abc: 6.305 6.305 5.137
angles: 90.00 90.00 90.00
Atoms (fractional coordinates):
I 0.500 0.500 0.500
Ba 0.500 0.000 0.000
Pd 0.000 0.000 0.000
Ba 0.000 0.500 0.000
In 0.000 0.000 0.500

Results
SG: P4/mmm, No. 123
Crystal system: tetragonal
Formation energy without anion corrections, meV per atom: -761

10.
A relaxed structure of Ce3PuPa2N6. Source: Alexandria via LeMat-Bulk, functional GGA-PBE.

abc: 6.121 6.121 6.130
angles: 99.56 99.56 120.01
Each line ends with the local moment (μB).
Atoms (fractional coordinates):
N 0.419 0.077 0.231  -0.04
N 0.734 0.734 0.229  -0.04
N 0.077 0.419 0.231  -0.04
Ce 0.165 0.835 0.500  0.14
Pu 0.000 0.000 0.000  4.71
N 0.266 0.266 0.771  -0.04
Ce 0.500 0.500 0.500  0.16
N 0.581 0.923 0.769  -0.04
Pa 0.667 0.333 0.000  0.08
Pa 0.333 0.667 0.000  0.08
Ce 0.835 0.165 0.500  0.14
N 0.923 0.581 0.769  -0.04

Results
SG: C2/m, No. 12
Crystal system: monoclinic
Formation energy without anion corrections, meV per atom: -1543

11.
A relaxed structure of AsPtRh2. Source: Alexandria via LeMat-Bulk, functional GGA-PBE.

abc: 4.586 4.586 4.586
angles: 126.62 126.62 78.88
Atoms (fractional coordinates):
Rh 0.500 0.500 0.000
Rh 0.000 0.000 0.000
Pt 0.750 0.250 0.500
As 0.250 0.750 0.500

Results
SG: I4/mmm, No. 139
ΔE_f, eV per atom: -0.04
Crystal system: tetragonal

12.
A relaxed structure of SmHo4Te5. Source: Alexandria via LeMat-Bulk, functional GGA-PBE.

abc: 4.325 4.325 15.965
angles: 97.78 97.78 90.00
Atoms (fractional coordinates):
Te 0.694 0.694 0.388
Te 0.104 0.104 0.209
Sm 0.000 0.000 0.000
Te 0.306 0.306 0.612
Ho 0.791 0.791 0.582
Ho 0.594 0.594 0.188
Te 0.896 0.896 0.791
Te 0.500 0.500 0.000
Ho 0.209 0.209 0.418
Ho 0.406 0.406 0.812

Results
SG: I4/mmm, No. 139
Crystal system: tetragonal
Formation energy without anion corrections, meV per atom: -1275

13.
A relaxed structure of TaSb4. Source: Alexandria via LeMat-Bulk, functional GGA-PBE.

abc: 5.366 5.366 5.366
angles: 90.00 90.00 90.00
Atoms (fractional coordinates):
Ta 0.500 0.500 0.500
Sb 0.500 0.000 0.500
Sb 0.000 0.500 0.500
Sb 0.000 0.000 0.000
Sb 0.500 0.500 0.000

Results
SG: Pm-3m, No. 221
Crystal system: cubic
Energy above the lowest structure with this stoichiometry, meV per atom: 244
Formation energy without anion corrections, meV per atom: 556

14.
A relaxed structure of LaMnAg2. Source: Alexandria via LeMat-Bulk, functional GGA-PBE.

abc: 5.063 5.063 3.547
angles: 90.00 90.00 90.00
Each line ends with the local moment (μB).
Atoms (fractional coordinates):
Mn 0.000 0.500 0.500  4.06
Ag 0.000 0.000 0.000  -0.01
La 0.500 0.000 0.500  -0.05
Ag 0.500 0.500 0.000  -0.01

Results
SG: P4/mmm, No. 123
ΔE_f, eV per atom: 0.21
Crystal system: tetragonal

15.
A relaxed structure of Ti7Ir2Rh3. Source: Alexandria via LeMat-Bulk, functional GGA-PBE.

abc: 4.199 4.412 10.988
angles: 101.58 90.00 90.00
Each line ends with the local moment (μB).
Atoms (fractional coordinates):
Ir 0.000 0.848 0.697  -0.01
Ti 0.000 0.285 0.570  0.17
Rh 0.500 0.500 0.000  0.01
Ti 0.500 0.917 0.835  0.07
Ti 0.000 0.573 0.146  0.02
Ir 0.000 0.152 0.303  -0.01
Ti 0.000 0.000 0.000  0.30
Ti 0.000 0.715 0.430  0.17
Rh 0.500 0.349 0.698  0.00
Ti 0.500 0.083 0.165  0.07
Rh 0.500 0.651 0.302  0.00
Ti 0.000 0.427 0.854  0.02

Results
SG: Cmmm, No. 65
ΔE_f, eV per atom: -0.40
Crystal system: orthorhombic

16.
A relaxed structure of Ta2TeAs. Source: Alexandria via LeMat-Bulk, functional GGA-PBE.

abc: 3.454 5.191 4.336
angles: 90.00 90.00 90.00
Atoms (fractional coordinates):
Ta 0.000 0.000 0.000
Te 0.500 0.000 0.500
As 0.000 0.500 0.500
Ta 0.500 0.500 0.000

Results
SG: Pmmm, No. 47
Crystal system: orthorhombic
Formation energy without anion corrections, meV per atom: 389

17.
A relaxed structure of BeTlAu2. Source: Alexandria via LeMat-Bulk, functional GGA-PBE.

abc: 4.689 4.689 4.689
angles: 60.00 60.00 60.00
Atoms (fractional coordinates):
Au 0.750 0.750 0.750
Tl 0.500 0.500 0.500
Au 0.250 0.250 0.250
Be 0.000 0.000 0.000

Results
SG: Fm-3m, No. 225
ΔE_f, eV per atom: 0.34
Crystal system: cubic
Energy above the lowest structure with this stoichiometry, meV per atom: 346

18.
A relaxed structure of SrHoTlGa. Source: Alexandria via LeMat-Bulk, functional GGA-PBE.

abc: 5.420 5.420 5.420
angles: 60.00 60.00 60.00
Atoms (fractional coordinates):
Sr 0.000 0.000 0.000
Ga 0.250 0.250 0.250
Tl 0.750 0.750 0.750
Ho 0.500 0.500 0.500

Results
SG: F-43m, No. 216
ΔE_f, eV per atom: -0.33
Crystal system: cubic

19.
A relaxed structure of NdHoCuPd. Source: Alexandria via LeMat-Bulk, functional GGA-PBE.

abc: 5.019 5.019 5.019
angles: 60.00 60.00 60.00
Atoms (fractional coordinates):
Cu 0.250 0.250 0.250
Nd 0.000 0.000 0.000
Pd 0.750 0.750 0.750
Ho 0.500 0.500 0.500

Results
SG: F-43m, No. 216
ΔE_f, eV per atom: -0.51
Crystal system: cubic
Energy above the lowest structure with this stoichiometry, meV per atom: 37

20.
A relaxed structure of Pm2MnIr2. Source: Alexandria via LeMat-Bulk, functional GGA-PBE.

abc: 5.740 5.740 7.915
angles: 77.13 77.13 58.60
Each line ends with the local moment (μB).
Atoms (fractional coordinates):
Ir 0.996 0.271 0.993  0.15
Pm 0.787 0.508 0.351  -0.04
Ir 0.004 0.729 0.007  0.15
Mn 0.125 0.875 0.250  3.51
Pm 0.492 0.213 0.149  -0.04
Ir 0.729 0.004 0.507  0.15
Pm 0.508 0.787 0.851  -0.04
Pm 0.213 0.492 0.649  -0.04
Mn 0.875 0.125 0.750  3.51
Ir 0.271 0.996 0.493  0.15

Results
SG: C2/c, No. 15
ΔE_f, eV per atom: -0.52
Crystal system: monoclinic

Number 1: E -4.577 eV/atom. Number 2: E -3.890 eV/atom. Number 3: E -7.801 eV/atom. Number 4: E -5.850 eV/atom. Number 5: E -4.475 eV/atom. Number 6: E -3.134 eV/atom. Number 7: E -5.873 eV/atom. Number 8: E -4.116 eV/atom. Number 9: E -3.426 eV/atom. Number 10: E -9.966 eV/atom. Number 11: E -6.391 eV/atom. Number 12: E -5.148 eV/atom. Number 13: E -5.113 eV/atom. Number 14: E -4.736 eV/atom. Number 15: E -8.324 eV/atom. Number 16: E -7.485 eV/atom. Number 17: E -2.819 eV/atom. Number 18: E -3.242 eV/atom. Number 19: E -5.165 eV/atom. Number 20: E -7.800 eV/atom.